No. 1
# Nb2ZnGa2Co5 (GGA-PBE, relaxed)
data_Nb2ZnGa2Co5
_space_group_name_H-M_alt 'P 4/m b m'
_space_group_IT_number 127
_space_group_name_Hall '-P 4 2ab'
_cell_length_a 8.993
_cell_length_b 8.993
_cell_length_c 3.309
_cell_angle_alpha 90.00
_cell_angle_beta 90.00
_cell_angle_gamma 90.00
loop_
_atom_site_label
_atom_site_type_symbol
_atom_site_fract_x
_atom_site_fract_y
_atom_site_fract_z
Nb1 Nb 0.171 0.329 0.000
Zn1 Zn 0.000 0.000 0.000
Ga1 Ga 0.128 0.628 0.000
Co1 Co 0.000 0.500 0.500
Co2 Co 0.039 0.795 0.500
# ΔH_f (0 K): 0.003 eV per atom
# Magnetic moment: 0.04 μB per cell
# Crystal system: tetragonal
# Uncorrected energy: -6.296 eV per atom
# N(E_F): 20.374 states/eV/cell



No. 2
# NdGa4Co2 (GGA-PBE, relaxed)
data_NdGa4Co2
_space_group_name_H-M_alt 'C 1 2/m 1'
_space_group_IT_number 12
_cell_length_a 8.353
_cell_length_b 6.611
_cell_length_c 5.142
_cell_angle_alpha 90.00
_cell_angle_beta 127.71
_cell_angle_gamma 90.00
loop_
_space_group_symop_operation_xyz
'x,y,z'
'-x,-y,-z'
'-x,y,-z'
'x,-y,z'
'x+1/2,y+1/2,z'
'-x+1/2,-y+1/2,-z'
'-x+1/2,y+1/2,-z'
'x+1/2,-y+1/2,z'
loop_
_atom_site_label
_atom_site_type_symbol
_atom_site_fract_x
_atom_site_fract_y
_atom_site_fract_z
Nd1 Nd 0.000 0.000 0.000
Ga1 Ga 0.197 0.198 0.697
Co1 Co 0.000 0.500 0.250
# ΔH_f (0 K): -0.215 eV per atom
# Magnetic moment: 3.95 μB per cell
# Crystal system: monoclinic
# Uncorrected energy: -4.656 eV per atom
# N(E_F): 15.974 states/eV/cell



No. 3
# Nd6Ga3Co (GGA-PBE, relaxed)
data_Nd6Ga3Co
_space_group_name_H-M_alt 'R -3 c'
_space_group_IT_number 167
_space_group_name_Hall '-R 3 2"c'
_cell_length_a 11.9795
_cell_length_b 11.9795
_cell_length_c 13.8363
_cell_angle_alpha 90.00
_cell_angle_beta 90.00
_cell_angle_gamma 120.00
loop_
_atom_site_label
_atom_site_type_symbol
_atom_site_fract_x
_atom_site_fract_y
_atom_site_fract_z
Nd1 Nd 0.0391 0.2006 0.3863
Ga1 Ga 0.0000 0.3983 0.2500
Co1 Co 0.0000 0.0000 0.0000
# ΔH_f (0 K): -0.249 eV per atom
# Magnetic moment: 0.00 μB per cell
# Crystal system: trigonal
# Uncorrected energy: -4.728 eV per atom
# N(E_F): 65.229 states/eV/cell